# 1
# BaCuRu2

Crystalline BaCuRu2 at its relaxed geometry (PBE-GGA, Alexandria).

The structure in CIF format:
```
data_BaCuRu2
_cell_length_a 2.9672
_cell_length_b 2.9672
_cell_length_c 29.0271
_cell_angle_alpha 90.00
_cell_angle_beta 90.00
_cell_angle_gamma 120.00
_symmetry_space_group_name_H-M 'R -3 m'
_symmetry_Int_Tables_number 166
_symmetry_space_group_name_Hall '-R 3 2"'
loop_
_atom_site_label
_atom_site_fract_x
_atom_site_fract_y
_atom_site_fract_z
_atom_site_occupancy
Ba1 0.0000 0.0000 0.0000 1
Cu1 0.0000 0.0000 0.5000 1
Ru1 0.0000 0.0000 0.2338 1
```

Results
* relative energy among the computed polymorphs: 3.59 eV per formula unit
* energy of formation: 1.10 eV/atom

# 2
# K2Hg2Pb3

Crystalline K2Hg2Pb3 at its relaxed geometry (PBE-GGA, Alexandria).

The structure in CIF format:
```
data_K2Hg2Pb3
_cell_length_a 11.937
_cell_length_b 4.795
_cell_length_c 8.492
_cell_angle_alpha 90.00
_cell_angle_beta 99.27
_cell_angle_gamma 90.00
_symmetry_space_group_name_H-M 'C 1 2/m 1'
_symmetry_Int_Tables_number 12
loop_
_symmetry_equiv_pos_as_xyz
'x,y,z'
'-x,-y,-z'
'-x,y,-z'
'x,-y,z'
'x+1/2,y+1/2,z'
'-x+1/2,-y+1/2,-z'
'-x+1/2,y+1/2,-z'
'x+1/2,-y+1/2,z'
loop_
_atom_site_label
_atom_site_fract_x
_atom_site_fract_y
_atom_site_fract_z
_atom_site_occupancy
K1 0.122 0.000 0.336 1
Hg1 0.091 0.500 0.654 1
Pb1 0.000 0.500 0.000 1
Pb2 0.195 0.000 0.886 1
```

Results
* energy of formation: -0.16 eV/atom

# 3
# La2ZnPd

Crystalline La2ZnPd at its relaxed geometry (PBE-GGA, Alexandria).

The structure in CIF format:
```
data_La2ZnPd
_cell_length_a 3.757
_cell_length_b 3.757
_cell_length_c 7.296
_cell_angle_alpha 90.00
_cell_angle_beta 90.00
_cell_angle_gamma 90.00
_symmetry_space_group_name_H-M 'P 4/m m m'
_symmetry_Int_Tables_number 123
_symmetry_space_group_name_Hall '-P 4 2'
loop_
_atom_site_label
_atom_site_fract_x
_atom_site_fract_y
_atom_site_fract_z
_atom_site_occupancy
La1 0.000 0.000 0.241 1
Zn1 0.500 0.500 0.500 1
Pd1 0.500 0.500 0.000 1
```

Results
* energy of formation: -0.53 eV/atom

# 4
# NiMo2Br

Crystalline NiMo2Br at its relaxed geometry (PBE-GGA, Alexandria).

The structure in CIF format:
```
data_NiMo2Br
_cell_length_a 2.9156
_cell_length_b 2.9156
_cell_length_c 25.4210
_cell_angle_alpha 90.00
_cell_angle_beta 90.00
_cell_angle_gamma 120.00
_symmetry_space_group_name_H-M 'R -3 m'
_symmetry_Int_Tables_number 166
_symmetry_space_group_name_Hall '-R 3 2"'
loop_
_atom_site_label
_atom_site_fract_x
_atom_site_fract_y
_atom_site_fract_z
_atom_site_occupancy
Ni1 0.0000 0.0000 0.0000 1
Mo1 0.0000 0.0000 0.2532 1
Br1 0.0000 0.0000 0.5000 1
```

Results
* relative energy among the computed polymorphs: 1.15 eV per formula unit
* formation energy from raw total energies: 642 meV per atom

# 5
# Pa3Co4Si

Crystalline Pa3Co4Si at its relaxed geometry (PBE-GGA, Alexandria).

The structure in CIF format:
```
data_Pa3Co4Si
_cell_length_a 10.218
_cell_length_b 6.652
_cell_length_c 7.880
_cell_angle_alpha 90.00
_cell_angle_beta 90.00
_cell_angle_gamma 90.00
_symmetry_space_group_name_H-M 'P n m a'
_symmetry_Int_Tables_number 62
loop_
_symmetry_equiv_pos_as_xyz
'x,y,z'
'-x,-y,-z'
'-x+1/2,-y,z+1/2'
'x+1/2,y,-z+1/2'
'x+1/2,-y+1/2,-z+1/2'
'-x+1/2,y+1/2,z+1/2'
'-x,y+1/2,-z'
'x,-y+1/2,z'
loop_
_atom_site_label
_atom_site_fract_x
_atom_site_fract_y
_atom_site_fract_z
_atom_site_occupancy
Pa1 0.088 0.250 0.206 1
Pa2 0.177 0.007 0.605 1
Co1 0.013 0.750 0.464 1
Co2 0.106 0.556 0.927 1
Co3 0.241 0.750 0.353 1
Si1 0.027 0.750 0.164 1
```

Results
* formation energy from raw total energies: -299 meV per atom

# 6
# Ac5Cd2Ge4

Crystalline Ac5Cd2Ge4 at its relaxed geometry (PBE-GGA, Alexandria).

The structure in CIF format:
```
data_Ac5Cd2Ge4
_cell_length_a 20.993
_cell_length_b 4.577
_cell_length_c 7.864
_cell_angle_alpha 90.00
_cell_angle_beta 106.85
_cell_angle_gamma 90.00
_symmetry_space_group_name_H-M 'C 1 2/m 1'
_symmetry_Int_Tables_number 12
loop_
_symmetry_equiv_pos_as_xyz
'x,y,z'
'-x,-y,-z'
'-x,y,-z'
'x,-y,z'
'x+1/2,y+1/2,z'
'-x+1/2,-y+1/2,-z'
'-x+1/2,y+1/2,-z'
'x+1/2,-y+1/2,z'
loop_
_atom_site_label
_atom_site_fract_x
_atom_site_fract_y
_atom_site_fract_z
_atom_site_occupancy
Ac1 0.000 0.000 0.000 1
Ac2 0.159 0.500 0.425 1
Ac3 0.164 0.500 0.936 1
Cd1 0.069 0.000 0.619 1
Ge1 0.006 0.500 0.706 1
Ge2 0.211 0.000 0.713 1
```

Results
* energy of formation: -0.38 eV/atom

# 7
# Ge2Pd2C

Crystalline Ge2Pd2C at its relaxed geometry (PBE-GGA, Alexandria).

The structure in CIF format:
```
data_Ge2Pd2C
_cell_length_a 5.813
_cell_length_b 5.813
_cell_length_c 4.361
_cell_angle_alpha 90.00
_cell_angle_beta 90.00
_cell_angle_gamma 90.00
_symmetry_space_group_name_H-M 'P 4/m b m'
_symmetry_Int_Tables_number 127
_symmetry_space_group_name_Hall '-P 4 2ab'
loop_
_atom_site_label
_atom_site_fract_x
_atom_site_fract_y
_atom_site_fract_z
_atom_site_occupancy
Ge1 0.160 0.340 0.000 1
Pd1 0.173 0.673 0.500 1
C1 0.000 0.000 0.000 1
```

Results
* relative energy among the computed polymorphs: 0.00 eV per formula unit
* energy of formation: 0.65 eV/atom

# 8
# Tb6Pm3Th2Sc

Crystalline Tb6Pm3Th2Sc at its relaxed geometry (PBE-GGA, Alexandria).

The structure in CIF format:
```
data_Tb6Pm3Th2Sc
_cell_length_a 6.161
_cell_length_b 10.665
_cell_length_c 11.824
_cell_angle_alpha 90.00
_cell_angle_beta 100.02
_cell_angle_gamma 90.00
_symmetry_space_group_name_H-M 'C 1 2/m 1'
_symmetry_Int_Tables_number 12
loop_
_symmetry_equiv_pos_as_xyz
'x,y,z'
'-x,-y,-z'
'-x,y,-z'
'x,-y,z'
'x+1/2,y+1/2,z'
'-x+1/2,-y+1/2,-z'
'-x+1/2,y+1/2,-z'
'x+1/2,-y+1/2,z'
loop_
_atom_site_label
_atom_site_fract_x
_atom_site_fract_y
_atom_site_fract_z
_atom_site_occupancy
Tb1 0.247 0.000 0.244 1
Tb2 0.247 0.334 0.244 1
Pm1 0.000 0.000 0.500 1
Pm2 0.000 0.333 0.500 1
Th1 0.000 0.166 0.000 1
Sc1 0.000 0.500 0.000 1
```

Results
* energy of formation: 0.03 eV/atom

Total energy across the listed records, respectively: -0.1853; -0.0789; -0.1693; -0.2439; -0.2973; -0.1505; -0.1881; -0.1926 Ha/atom.